1.
This record from Alexandria describes LiMgOs after structural relaxation. The functional is PBE-GGA.

Calculated values
Calculated formation energy   0.03 eV/atom
Distance to the lowest polymorph of the same formula   0 meV per atom

Cell and atoms, written as CIF:
```
data_LiMgOs
_symmetry_space_group_name_H-M 'P 4/n m m'
_symmetry_Int_Tables_number 129
_cell_length_a 2.9087
_cell_length_b 2.9087
_cell_length_c 12.0508
_cell_angle_alpha 90.00
_cell_angle_beta 90.00
_cell_angle_gamma 90.00
loop_
_symmetry_equiv_pos_as_xyz
'x,y,z'
'-x,-y,-z'
'-y+1/2,x,z'
'y+1/2,-x,-z'
'-x+1/2,-y+1/2,z'
'x+1/2,y+1/2,-z'
'y,-x+1/2,z'
'-y,x+1/2,-z'
'x+1/2,-y,-z'
'-x+1/2,y,z'
'-y,-x,-z'
'y,x,z'
'-x,y+1/2,-z'
'x,-y+1/2,z'
'y+1/2,x+1/2,-z'
'-y+1/2,-x+1/2,z'
loop_
_atom_site_label
_atom_site_type_symbol
_atom_site_fract_x
_atom_site_fract_y
_atom_site_fract_z
Li1 Li 0.2500 0.2500 0.0853
Mg1 Mg 0.2500 0.2500 0.7261
Os1 Os 0.2500 0.2500 0.4336
```



2.
This record from Alexandria describes Li2MgOs after structural relaxation. The functional is PBE-GGA.

Calculated values
Calculated formation energy   0.25 eV/atom

Cell and atoms, written as CIF:
```
data_Li2MgOs
_symmetry_space_group_name_H-M 'I m m 2'
_symmetry_Int_Tables_number 44
_symmetry_space_group_name_Hall 'I 2 -2'
_cell_length_a 2.6896
_cell_length_b 4.6703
_cell_length_c 9.1225
_cell_angle_alpha 90.00
_cell_angle_beta 90.00
_cell_angle_gamma 90.00
loop_
_atom_site_label
_atom_site_type_symbol
_atom_site_fract_x
_atom_site_fract_y
_atom_site_fract_z
Li1 Li 0.0000 0.0000 0.0000
Li2 Li 0.0000 0.5000 0.2726
Mg1 Mg 0.0000 0.0000 0.5196
Os1 Os 0.0000 0.5000 0.7525
```



3.
This record from Alexandria describes Li2MgOs after structural relaxation. The functional is PBE-GGA.

Calculated values
Calculated formation energy   0.19 eV/atom

Cell and atoms, written as CIF:
```
data_Li2MgOs
_symmetry_space_group_name_H-M 'C m m m'
_symmetry_Int_Tables_number 65
_symmetry_space_group_name_Hall '-C 2 2'
_cell_length_a 2.9472
_cell_length_b 4.4870
_cell_length_c 9.5790
_cell_angle_alpha 90.00
_cell_angle_beta 90.00
_cell_angle_gamma 90.00
loop_
_atom_site_label
_atom_site_type_symbol
_atom_site_fract_x
_atom_site_fract_y
_atom_site_fract_z
Li1 Li 0.0000 0.0000 0.2257
Mg1 Mg 0.0000 0.5000 0.5000
Os1 Os 0.0000 0.5000 0.0000
```



4.
This record from Alexandria describes LiMgOs2 after structural relaxation. The functional is PBE-GGA.

Calculated values
Calculated formation energy   0.34 eV/atom

Cell and atoms, written as CIF:
```
data_LiMgOs2
_symmetry_space_group_name_H-M 'I m m 2'
_symmetry_Int_Tables_number 44
_symmetry_space_group_name_Hall 'I 2 -2'
_cell_length_a 2.9095
_cell_length_b 4.5146
_cell_length_c 8.7955
_cell_angle_alpha 90.00
_cell_angle_beta 90.00
_cell_angle_gamma 90.00
loop_
_atom_site_label
_atom_site_type_symbol
_atom_site_fract_x
_atom_site_fract_y
_atom_site_fract_z
Li1 Li 0.0000 0.0000 0.0000
Mg1 Mg 0.0000 0.5000 0.7559
Os1 Os 0.0000 0.0000 0.5185
Os2 Os 0.0000 0.5000 0.2532
```



5.
This record from Alexandria describes LiMgOs2 after structural relaxation. The functional is PBE-GGA.

Calculated values
Calculated formation energy   0.39 eV/atom

Cell and atoms, written as CIF:
```
data_LiMgOs2
_symmetry_space_group_name_H-M 'C m m 2'
_symmetry_Int_Tables_number 35
_symmetry_space_group_name_Hall 'C 2 -2'
_cell_length_a 2.8783
_cell_length_b 4.6243
_cell_length_c 9.3966
_cell_angle_alpha 90.00
_cell_angle_beta 90.00
_cell_angle_gamma 90.00
loop_
_atom_site_label
_atom_site_type_symbol
_atom_site_fract_x
_atom_site_fract_y
_atom_site_fract_z
Li1 Li 0.0000 0.0000 0.0000
Mg1 Mg 0.0000 0.5000 0.7223
Os1 Os 0.0000 0.0000 0.4716
Os2 Os 0.0000 0.5000 0.2398
```



6.
This record from Alexandria describes Li2MgOs after structural relaxation. The functional is PBE-GGA.

Calculated values
Calculated formation energy   0.37 eV/atom

Cell and atoms, written as CIF:
```
data_Li2MgOs
_symmetry_space_group_name_H-M 'I -4 m 2'
_symmetry_Int_Tables_number 119
_symmetry_space_group_name_Hall 'I -4 -2'
_cell_length_a 3.8665
_cell_length_b 3.8665
_cell_length_c 7.8139
_cell_angle_alpha 90.00
_cell_angle_beta 90.00
_cell_angle_gamma 90.00
loop_
_atom_site_label
_atom_site_type_symbol
_atom_site_fract_x
_atom_site_fract_y
_atom_site_fract_z
Li1 Li 0.0000 0.0000 0.0000
Li2 Li 0.0000 0.5000 0.2500
Mg1 Mg 0.0000 0.5000 0.7500
Os1 Os 0.0000 0.0000 0.5000
```



7.
This record from Alexandria describes Li4MgOs after structural relaxation. The functional is PBE-GGA.

Calculated values
Calculated formation energy   0.29 eV/atom

Cell and atoms, written as CIF:
```
data_Li4MgOs
_symmetry_space_group_name_H-M 'F -4 3 m'
_symmetry_Int_Tables_number 216
_symmetry_space_group_name_Hall 'F -4 2 3'
_cell_length_a 6.9806
_cell_length_b 6.9806
_cell_length_c 6.9806
_cell_angle_alpha 90.00
_cell_angle_beta 90.00
_cell_angle_gamma 90.00
loop_
_atom_site_label
_atom_site_type_symbol
_atom_site_fract_x
_atom_site_fract_y
_atom_site_fract_z
Li1 Li 0.1221 0.1221 0.3779
Mg1 Mg 0.0000 0.0000 0.0000
Os1 Os 0.2500 0.2500 0.7500
```



8.
This record from Alexandria describes Li2MgOs after structural relaxation. The functional is PBE-GGA.

Calculated values
Calculated formation energy   0.16 eV/atom

Cell and atoms, written as CIF:
```
data_Li2MgOs
_symmetry_space_group_name_H-M 'P 1 2/m 1'
_symmetry_Int_Tables_number 10
_symmetry_space_group_name_Hall '-P 2y'
_cell_length_a 2.6001
_cell_length_b 4.7097
_cell_length_c 5.0123
_cell_angle_alpha 90.00
_cell_angle_beta 93.35
_cell_angle_gamma 90.00
loop_
_atom_site_label
_atom_site_type_symbol
_atom_site_fract_x
_atom_site_fract_y
_atom_site_fract_z
Li1 Li 0.2242 0.0000 0.2128
Mg1 Mg 0.0000 0.5000 0.5000
Os1 Os 0.5000 0.5000 0.0000
```